--- i ---
The following is a meta-GGA SCAN calculation of a PBEsol-optimized structure of TlGaSe2, from Alexandria.

Cell lengths 7.5753, 7.5753, 15.4813 Å; angles 82.61, 82.61, 89.97 degrees
Fractional positions:
Se  0.7189  0.8588  0.5649
Se  0.2811  0.1412  0.4351
Se  0.7625  0.3562  0.5631
Se  0.2375  0.6438  0.4369
Se  0.6438  0.2375  0.9369
Se  0.0460  0.4280  0.2508
Se  0.9540  0.5720  0.7492
Se  0.8588  0.7189  0.0649
Se  0.0403  0.9597  0.2500
Se  0.3562  0.7625  0.0631
Se  0.1412  0.2811  0.9351
Se  0.5720  0.9540  0.2492
Se  0.5681  0.4319  0.2500
Se  0.4280  0.0460  0.7508
Se  0.4319  0.5681  0.7500
Se  0.9597  0.0403  0.7500
Ga  0.5798  0.7155  0.1599
Ga  0.7155  0.5798  0.6599
Ga  0.2837  0.9158  0.3376
Ga  0.7163  0.0842  0.6624
Ga  0.9158  0.2837  0.8376
Ga  0.0842  0.7163  0.1624
Ga  0.2845  0.4202  0.3401
Ga  0.4202  0.2845  0.8401
Tl  0.3404  0.1990  0.1192
Tl  0.8428  0.2683  0.1066
Tl  0.8010  0.6596  0.3808
Tl  0.1572  0.7317  0.8934
Tl  0.7317  0.1572  0.3934
Tl  0.2683  0.8428  0.6066
Tl  0.1990  0.3404  0.6192
Tl  0.6596  0.8010  0.8808

- Mass density: 6.57 g/cm3
- DOS at the Fermi energy: 0.000 states/eV/cell
- Magnetization: 0.00 Bohr magnetons per cell


--- ii ---
The following is a meta-GGA SCAN calculation of a PBEsol-optimized structure of TlGaSe2, from Alexandria.

Cell lengths 6.5675, 6.5675, 6.5675 Å; angles 77.14, 67.12, 112.88 degrees
Fractional positions:
Se  0.0826  0.4576  0.1250
Se  0.9174  0.7924  0.6250
Se  0.5826  0.1250  0.7924
Se  0.4174  0.6250  0.4576
Ga  0.0000  0.5000  0.5000
Ga  0.5000  0.7500  0.7500
Tl  0.0000  0.0000  0.0000
Tl  0.5000  0.2500  0.2500

- Mass density: 6.65 g/cm3
- DOS at the Fermi energy: 0.000 states/eV/cell
- Magnetization: 0.00 Bohr magnetons per cell


Order of stability, best first: i, ii


--- i ---
The following is a meta-GGA SCAN calculation of a PBEsol-optimized structure of GaSi2Sn, from Alexandria.

Cell lengths 5.7638, 5.7638, 7.0820 Å; angles 114.01, 114.01, 90.00 degrees
Fractional positions:
Sn  0.0000  0.0000  0.0000
Sn  0.2500  0.7500  0.5000
Si  0.6250  0.5980  0.7500
Si  0.1250  0.1520  0.7500
Si  0.8480  0.3750  0.2500
Si  0.4020  0.8750  0.2500
Ga  0.7500  0.2500  0.5000
Ga  0.5000  0.5000  0.0000

- Mass density: 4.22 g/cm3
- DOS at the Fermi energy: 4.130 states/eV/cell
- Magnetization: 0.00 Bohr magnetons per cell


--- ii ---
The following is a meta-GGA SCAN calculation of a PBEsol-optimized structure of GaSi2Sn, from Alexandria.

Cell lengths 4.7083, 4.7083, 4.7083 Å; angles 60.00, 60.00, 60.00 degrees
Fractional positions:
Si  0.7500  0.7500  0.7500
Si  0.2500  0.2500  0.2500
Ga  0.0000  0.0000  0.0000
Sn  0.5000  0.5000  0.5000

- Mass density: 5.50 g/cm3
- DOS at the Fermi energy: 1.950 states/eV/cell
- Magnetization: 0.00 Bohr magnetons per cell


Order of stability, best first: i, ii


--- i ---
The following is a meta-GGA SCAN calculation of a PBEsol-optimized structure of TlGaSi2, from Alexandria.

Cell lengths 4.7861, 4.7861, 4.7861 Å; angles 60.00, 60.00, 60.00 degrees
Fractional positions:
Si  0.2500  0.2500  0.2500
Si  0.7500  0.7500  0.7500
Tl  0.5000  0.5000  0.5000
Ga  0.0000  0.0000  0.0000

- Mass density: 7.07 g/cm3
- DOS at the Fermi energy: 2.154 states/eV/cell
- Magnetization: 0.00 Bohr magnetons per cell


--- ii ---
The following is a meta-GGA SCAN calculation of a PBEsol-optimized structure of TlGaSi2, from Alexandria.

Cell lengths 5.8507, 5.8507, 7.0671 Å; angles 114.45, 114.45, 90.00 degrees
Fractional positions:
Tl  0.2500  0.7500  0.5000
Tl  0.0000  0.0000  0.0000
Si  0.8390  0.3750  0.2500
Si  0.1250  0.1610  0.7500
Si  0.4110  0.8750  0.2500
Si  0.6250  0.5890  0.7500
Ga  0.5000  0.5000  0.0000
Ga  0.7500  0.2500  0.5000

- Mass density: 5.59 g/cm3
- DOS at the Fermi energy: 4.292 states/eV/cell
- Magnetization: 0.00 Bohr magnetons per cell


Order of stability, best first: ii, i


--- i ---
The following is a meta-GGA SCAN calculation of a PBEsol-optimized structure of Sm5Ga3, from Alexandria.

Cell lengths 7.6411, 7.6411, 14.2025 Å; angles 90.00, 90.00, 90.00 degrees
Fractional positions:
Ga  0.3801  0.3801  0.2500
Ga  0.1199  0.8801  0.2500
Ga  0.5000  0.0000  0.5061
Ga  0.5000  0.0000  0.0061
Ga  0.8801  0.8801  0.7500
Ga  0.6199  0.6199  0.2500
Ga  0.3801  0.6199  0.7500
Ga  0.0000  0.5000  0.9939
Ga  0.1199  0.1199  0.7500
Ga  0.6199  0.3801  0.7500
Ga  0.0000  0.5000  0.4939
Ga  0.8801  0.1199  0.2500
Sm  0.5000  0.0000  0.2205
Sm  0.3424  0.3145  0.8973
Sm  0.1576  0.1855  0.1027
Sm  0.1576  0.8145  0.6027
Sm  0.3145  0.6576  0.1027
Sm  0.1855  0.8424  0.8973
Sm  0.6576  0.6855  0.8973
Sm  0.8145  0.8424  0.3973
Sm  0.0000  0.5000  0.2795
Sm  0.6855  0.3424  0.1027
Sm  0.8145  0.1576  0.8973
Sm  0.6576  0.3145  0.3973
Sm  0.0000  0.5000  0.7795
Sm  0.6855  0.6576  0.6027
Sm  0.3424  0.6855  0.3973
Sm  0.8424  0.1855  0.6027
Sm  0.3145  0.3424  0.6027
Sm  0.5000  0.0000  0.7205
Sm  0.8424  0.8145  0.1027
Sm  0.1855  0.1576  0.3973

- Mass density: 7.70 g/cm3
- DOS at the Fermi energy: 22.451 states/eV/cell
- Magnetization: 0.00 Bohr magnetons per cell


--- ii ---
The following is a meta-GGA SCAN calculation of a PBEsol-optimized structure of Sm5Ga3, from Alexandria.

Cell lengths 7.6134, 7.6134, 8.9381 Å; angles 115.21, 115.21, 90.00 degrees
Fractional positions:
Sm  0.8228  0.3228  0.2991
Sm  0.9763  0.8228  0.2991
Sm  0.5237  0.0237  0.7009
Sm  0.0237  0.1772  0.7009
Sm  0.0000  0.0000  0.0000
Sm  0.6772  0.5237  0.7009
Sm  0.5000  0.5000  0.0000
Sm  0.1772  0.6772  0.7009
Sm  0.3228  0.4763  0.2991
Sm  0.4763  0.9763  0.2991
Ga  0.3819  0.1181  0.0000
Ga  0.2500  0.2500  0.5000
Ga  0.1181  0.6181  0.0000
Ga  0.8819  0.3819  0.0000
Ga  0.6181  0.8819  0.0000
Ga  0.7500  0.7500  0.5000

- Mass density: 7.72 g/cm3
- DOS at the Fermi energy: 13.503 states/eV/cell
- Magnetization: 0.00 Bohr magnetons per cell


Order of stability, best first: i, ii


--- i ---
The following is a meta-GGA SCAN calculation of a PBEsol-optimized structure of Ga2SnTe, from Alexandria.

Cell lengths 5.0628, 5.0628, 5.0628 Å; angles 60.00, 60.00, 60.00 degrees
Fractional positions:
Ga  0.7500  0.7500  0.7500
Ga  0.2500  0.2500  0.2500
Te  0.5000  0.5000  0.5000
Sn  0.0000  0.0000  0.0000

- Mass density: 6.98 g/cm3
- DOS at the Fermi energy: 1.872 states/eV/cell
- Magnetization: 0.00 Bohr magnetons per cell


--- ii ---
The following is a meta-GGA SCAN calculation of a PBEsol-optimized structure of Ga2SnTe, from Alexandria.

Cell lengths 6.1592, 6.1592, 7.5838 Å; angles 113.96, 113.96, 90.00 degrees
Fractional positions:
Te  0.2500  0.7500  0.5000
Te  0.0000  0.0000  0.0000
Sn  0.5000  0.5000  0.0000
Sn  0.7500  0.2500  0.5000
Ga  0.3921  0.8750  0.2500
Ga  0.8579  0.3750  0.2500
Ga  0.1250  0.1421  0.7500
Ga  0.6250  0.6079  0.7500

- Mass density: 5.44 g/cm3
- DOS at the Fermi energy: 0.410 states/eV/cell
- Magnetization: 0.00 Bohr magnetons per cell


Order of stability, best first: ii, i


--- i ---
The following is a meta-GGA SCAN calculation of a PBEsol-optimized structure of Zn2Ga2Sn, from Alexandria.

Cell lengths 4.0231, 4.0231, 6.3682 Å; angles 108.41, 108.41, 90.00 degrees
Fractional positions:
Zn  0.7500  0.2500  0.5000
Zn  0.2500  0.7500  0.5000
Ga  0.3911  0.3911  0.7822
Ga  0.6089  0.6089  0.2178
Sn  0.0000  0.0000  0.0000

- Mass density: 7.00 g/cm3
- DOS at the Fermi energy: 1.538 states/eV/cell
- Magnetization: 0.00 Bohr magnetons per cell


--- ii ---
The following is a meta-GGA SCAN calculation of a PBEsol-optimized structure of Zn2Ga2Sn, from Alexandria.

Cell lengths 2.9220, 7.8886, 7.8886 Å; angles 90.00, 90.00, 90.00 degrees
Fractional positions:
Ga  0.0000  0.1303  0.3697
Ga  0.0000  0.8697  0.6303
Ga  0.0000  0.3697  0.8697
Ga  0.0000  0.6303  0.1303
Zn  0.5000  0.3336  0.1664
Zn  0.5000  0.1664  0.6664
Zn  0.5000  0.6664  0.8336
Zn  0.5000  0.8336  0.3336
Sn  0.0000  0.0000  0.0000
Sn  0.0000  0.5000  0.5000

- Mass density: 7.10 g/cm3
- DOS at the Fermi energy: 3.915 states/eV/cell
- Magnetization: 0.00 Bohr magnetons per cell


Order of stability, best first: i, ii


--- i ---
The following is a meta-GGA SCAN calculation of a PBEsol-optimized structure of Sr3TaGa, from Alexandria.

Cell lengths 5.7923, 5.7923, 5.7923 Å; angles 90.00, 90.00, 90.00 degrees
Fractional positions:
Sr  0.0000  0.5000  0.0000
Sr  0.5000  0.0000  0.0000
Sr  0.0000  0.0000  0.5000
Ta  0.0000  0.0000  0.0000
Ga  0.5000  0.5000  0.5000

- Mass density: 4.39 g/cm3
- DOS at the Fermi energy: 4.713 states/eV/cell
- Magnetization: 0.00 Bohr magnetons per cell


--- ii ---
The following is a meta-GGA SCAN calculation of a PBEsol-optimized structure of Sr3TaGa, from Alexandria.

Cell lengths 5.8822, 5.8822, 5.8822 Å; angles 90.00, 90.00, 90.00 degrees
Fractional positions:
Sr  0.5000  0.0000  0.0000
Sr  0.0000  0.5000  0.0000
Sr  0.0000  0.0000  0.5000
Ta  0.5000  0.5000  0.5000
Ga  0.0000  0.0000  0.0000

- Mass density: 4.19 g/cm3
- DOS at the Fermi energy: 3.697 states/eV/cell
- Magnetization: 4.01 Bohr magnetons per cell


Order of stability, best first: ii, i


--- i ---
The following is a meta-GGA SCAN calculation of a PBEsol-optimized structure of Ta3TiGa, from Alexandria.

Cell lengths 4.6736, 4.6736, 4.6736 Å; angles 90.00, 90.00, 90.00 degrees
Fractional positions:
Ta  0.0000  0.5000  0.0000
Ta  0.5000  0.0000  0.0000
Ta  0.0000  0.0000  0.5000
Ga  0.0000  0.0000  0.0000
Ti  0.5000  0.5000  0.5000

- Mass density: 10.74 g/cm3
- DOS at the Fermi energy: 4.725 states/eV/cell
- Magnetization: 0.00 Bohr magnetons per cell


--- ii ---
The following is a meta-GGA SCAN calculation of a PBEsol-optimized structure of Ta3TiGa, from Alexandria.

Cell lengths 4.6193, 4.6193, 4.6193 Å; angles 90.00, 90.00, 90.00 degrees
Fractional positions:
Ga  0.5000  0.5000  0.5000
Ta  0.5000  0.0000  0.0000
Ta  0.0000  0.0000  0.5000
Ta  0.0000  0.5000  0.0000
Ti  0.0000  0.0000  0.0000

- Mass density: 11.13 g/cm3
- DOS at the Fermi energy: 4.726 states/eV/cell
- Magnetization: 0.00 Bohr magnetons per cell


Order of stability, best first: i, ii


--- i ---
The following is a meta-GGA SCAN calculation of a PBEsol-optimized structure of TaTlGa3, from Alexandria.

Cell lengths 5.0422, 5.0422, 5.0422 Å; angles 90.00, 90.00, 90.00 degrees
Fractional positions:
Tl  0.5000  0.5000  0.5000
Ga  0.0000  0.5000  0.0000
Ga  0.5000  0.0000  0.0000
Ga  0.0000  0.0000  0.5000
Ta  0.0000  0.0000  0.0000

- Mass density: 7.70 g/cm3
- DOS at the Fermi energy: 3.459 states/eV/cell
- Magnetization: 0.00 Bohr magnetons per cell


--- ii ---
The following is a meta-GGA SCAN calculation of a PBEsol-optimized structure of TaTlGa3, from Alexandria.

Cell lengths 5.0192, 5.0192, 5.0192 Å; angles 90.00, 90.00, 90.00 degrees
Fractional positions:
Ta  0.5000  0.5000  0.5000
Ga  0.5000  0.0000  0.0000
Ga  0.0000  0.5000  0.0000
Ga  0.0000  0.0000  0.5000
Tl  0.0000  0.0000  0.0000

- Mass density: 7.81 g/cm3
- DOS at the Fermi energy: 4.425 states/eV/cell
- Magnetization: 2.41 Bohr magnetons per cell


Order of stability, best first: i, ii


--- i ---
The following is a meta-GGA SCAN calculation of a PBEsol-optimized structure of GdTa3O9, from Alexandria.

Cell lengths 6.4654, 7.2762, 7.2762 Å; angles 117.49, 94.03, 85.97 degrees
Fractional positions:
Ta  0.2364  0.2874  0.2169
Ta  0.7636  0.7126  0.7831
Ta  0.2364  0.7831  0.7126
Ta  0.5000  0.0000  0.5000
Ta  0.7636  0.2169  0.2874
Ta  0.5000  0.5000  0.0000
O  0.5467  0.8820  0.6990
O  0.7843  0.5031  0.9219
O  0.4533  0.6990  0.8820
O  0.4179  0.2730  0.7270
O  0.1866  0.0752  0.9248
O  0.2157  0.4969  0.0781
O  0.8134  0.9248  0.0752
O  0.2157  0.9219  0.5031
O  0.4533  0.1180  0.3010
O  0.5467  0.3010  0.1180
O  0.7843  0.0781  0.4969
O  0.9291  0.3787  0.1983
O  0.0709  0.6213  0.8017
O  0.7083  0.4572  0.5428
O  0.0709  0.1983  0.3787
O  0.2917  0.5428  0.4572
O  0.9291  0.8017  0.6213
O  0.5821  0.7270  0.2730
Gd  0.0545  0.2687  0.7313
Gd  0.9455  0.7313  0.2687

- Mass density: 9.26 g/cm3
- DOS at the Fermi energy: 0.000 states/eV/cell
- Magnetization: 13.96 Bohr magnetons per cell


--- ii ---
The following is a meta-GGA SCAN calculation of a PBEsol-optimized structure of GdTa3O9, from Alexandria.

Cell lengths 5.2934, 7.4754, 8.2158 Å; angles 90.00, 92.48, 90.00 degrees
Fractional positions:
Ta  0.4710  0.4928  0.6971
Ta  0.4710  0.0072  0.6971
Ta  0.5290  0.9928  0.3029
Ta  0.0000  0.5000  0.0000
Ta  0.5290  0.5072  0.3029
Ta  0.0000  0.0000  0.0000
O  0.4287  0.2500  0.3129
O  0.6613  0.7500  0.3441
O  0.3243  0.5538  0.1198
O  0.2604  0.9582  0.4671
O  0.3387  0.2500  0.6559
O  0.1481  0.9368  0.7846
O  0.7396  0.0418  0.5329
O  0.0962  0.2500  0.9790
O  0.6757  0.0538  0.8802
O  0.3243  0.9462  0.1198
O  0.1481  0.5632  0.7846
O  0.8519  0.4368  0.2154
O  0.9038  0.7500  0.0210
O  0.8519  0.0632  0.2154
O  0.5713  0.7500  0.6871
O  0.7396  0.4582  0.5329
O  0.6757  0.4462  0.8802
O  0.2604  0.5418  0.4671
Gd  0.0343  0.2500  0.4342
Gd  0.9657  0.7500  0.5658

- Mass density: 8.63 g/cm3
- DOS at the Fermi energy: 0.000 states/eV/cell
- Magnetization: 13.91 Bohr magnetons per cell


Order of stability, best first: ii, i